(1)
# Cd2TcAg2O6

A geometry-optimized Cd2TcAg2O6 structure (GGA-PBE, Alexandria via LeMat-Bulk).

Cell lengths 5.634, 5.634, 6.470 Å; angles 105.25, 105.25, 116.36 degrees
Element x y z (fractional)
Cd1 0.343 0.657 0.500
Cd2 0.657 0.343 0.500
Tc1 0.000 0.000 0.500
Ag1 0.804 0.196 0.000
Ag2 0.196 0.804 0.000
O1 0.859 0.859 0.720
O2 0.108 0.397 0.684
O3 0.141 0.141 0.280
O4 0.397 0.108 0.684
O5 0.892 0.603 0.316
O6 0.603 0.892 0.316

Its space group is C2/m. The density is 6.6 g/cm3. The total moment comes out at 0.082 μB/atom. Its formation energy from raw total energies is -726 meV/atom. The volume comes out at 14.5 Å³/atom. As for the crystal system: monoclinic.



(2)
# Y2CuGePd6

A geometry-optimized Y2CuGePd6 structure (GGA-PBE, Alexandria via LeMat-Bulk).

Cell lengths 5.590, 8.227, 5.588 Å; angles 70.27, 59.94, 90.05 degrees
Element x y z (fractional)
Y1 0.702 0.106 0.596
Y2 0.298 0.894 0.404
Cu1 0.000 0.000 0.000
Ge1 0.500 0.500 0.000
Pd1 0.252 0.257 0.499
Pd2 0.749 0.744 0.005
Pd3 0.244 0.743 0.006
Pd4 0.756 0.257 0.994
Pd5 0.251 0.256 0.995
Pd6 0.748 0.743 0.501

Its space group is C2/m. The density is 7.7 g/cm3. For the formation energy, the calculation gives -0.53 eV per atom. The total moment comes out at 0.000 μB/atom. The volume comes out at 20.5 Å³/atom. As for the crystal system: monoclinic.



(3)
# KLiMg

A geometry-optimized KLiMg structure (GGA-PBE, Alexandria via LeMat-Bulk).

Cell lengths 3.670, 3.661, 17.400 Å; angles 90.00, 90.00, 120.08 degrees
Element x y z (fractional)
Li1 0.617 0.233 0.000
Li2 0.278 0.556 0.500
Mg1 0.611 0.222 0.371
Mg2 0.611 0.222 0.629
K1 0.275 0.549 0.814
K2 0.275 0.549 0.186

Its space group is Amm2. The density is 1.2 g/cm3. For the formation energy, the calculation gives 0.23 eV per atom. The total moment comes out at 0.000 μB/atom. The volume comes out at 33.7 Å³/atom. As for the crystal system: orthorhombic.



- Look up the total moment of the second one.
  0.000 μB/atom



- What is the formula in the second record?
  Y2CuGePd6



- Look up the total moment of the first one.
  0.082 μB/atom



- Which value of total moment does entry 3 give?
  0.000 μB/atom